1.
First-principles (PBE-GGA) data for a relaxed structure of Ba6TlCd5, as listed in the Alexandria database.

- Energy relative to the elements: -0.3408 eV/atom
- Volume: 466 Å³/cell
- Calculated density: 5.7 g cm⁻³

Unit cell a=10.457 b=10.457 c=6.033 alpha=106.75 beta=106.75 gamma=120.09
Fractional positions:
Ba  0.083  0.417  0.750
Ba  0.249  0.249  0.249
Ba  0.417  0.083  0.750
Ba  0.583  0.917  0.250
Ba  0.751  0.751  0.751
Ba  0.917  0.583  0.250
Tl  0.500  0.500  0.000
Cd  0.000  0.000  0.500
Cd  0.166  0.834  0.000
Cd  0.334  0.666  0.500
Cd  0.666  0.334  0.500
Cd  0.834  0.166  0.000



2.
First-principles (PBE-GGA) data for a relaxed structure of SrV2Ga, as listed in the Alexandria database.

- Energy relative to the elements: 0.5973 eV/atom
- Volume: 187 Å³/cell
- Calculated density: 4.6 g cm⁻³

Unit cell a=10.124 b=10.124 c=10.124 alpha=154.83 beta=154.83 gamma=35.90
Fractional positions:
Sr  0.000  0.000  0.000
Sr  0.750  0.250  0.500
V  0.360  0.625  0.235
V  0.375  0.610  0.735
V  0.390  0.125  0.765
V  0.875  0.640  0.265
Ga  0.250  0.750  0.500
Ga  0.500  0.500  0.000



3.
First-principles (PBE-GGA) data for a relaxed structure of Li3VPd, as listed in the Alexandria database.

- Distance to the lowest polymorph of the same formula: 0.000 eV/atom
- Energy relative to the elements: 0.5207 eV/atom
- Volume: 97 Å³/cell
- Calculated density: 3.1 g cm⁻³

Unit cell a=4.592 b=4.592 c=4.592 alpha=90.00 beta=90.00 gamma=90.00
Fractional positions:
Li  0.000  0.000  0.500
Li  0.000  0.500  0.000
Li  0.500  0.000  0.000
V  0.500  0.500  0.500
Pd  0.000  0.000  0.000



4.
First-principles (PBE-GGA) data for a relaxed structure of InSbP2, as listed in the Alexandria database.

- Distance to the lowest polymorph of the same formula: 0.397 eV/atom
- Volume: 89 Å³/cell
- ΔE_f (raw): 0.441 eV per atom
- Calculated density: 5.6 g cm⁻³

Unit cell a=5.187 b=5.187 c=5.187 alpha=135.10 beta=109.26 gamma=87.81
Fractional positions:
In  0.000  0.000  0.000
Sb  0.500  0.500  0.000
P  0.248  0.748  0.500
P  0.752  0.252  0.500



5.
First-principles (PBE-GGA) data for a relaxed structure of CsNa2Ca, as listed in the Alexandria database.

- Distance to the lowest polymorph of the same formula: 0.048 eV/atom
- Energy relative to the elements: 0.1395 eV/atom
- Volume: 206 Å³/cell
- Calculated density: 1.8 g cm⁻³

Unit cell a=6.632 b=6.632 c=6.632 alpha=60.00 beta=60.00 gamma=60.00
Fractional positions:
Cs  0.000  0.000  0.000
Na  0.250  0.250  0.250
Na  0.750  0.750  0.750
Ca  0.500  0.500  0.500



6.
First-principles (PBE-GGA) data for a relaxed structure of Nd2EuY, as listed in the Alexandria database.

- Distance to the lowest polymorph of the same formula: 0.000 eV/atom
- Energy relative to the elements: 0.0350 eV/atom
- Volume: 143 Å³/cell
- Calculated density: 6.2 g cm⁻³

Unit cell a=3.690 b=3.690 c=10.483 alpha=90.00 beta=90.00 gamma=90.00
Fractional positions:
Nd  0.000  0.000  0.237
Nd  0.000  0.000  0.763
Eu  0.500  0.500  0.500
Y  0.500  0.500  0.000



7.
First-principles (PBE-GGA) data for a relaxed structure of Nd2Be3Cu12Pd, as listed in the Alexandria database.

- Energy relative to the elements: 0.3239 eV/atom
- Volume: 295 Å³/cell
- Calculated density: 6.7 g cm⁻³

Unit cell a=7.361 b=7.361 c=7.361 alpha=62.08 beta=62.08 gamma=62.08
Fractional positions:
Nd  0.104  0.104  0.104
Nd  0.896  0.896  0.896
Be  0.000  0.500  0.500
Be  0.500  0.000  0.500
Be  0.500  0.500  0.000
Cu  0.101  0.627  0.627
Cu  0.167  0.167  0.602
Cu  0.167  0.602  0.167
Cu  0.373  0.373  0.899
Cu  0.373  0.899  0.373
Cu  0.398  0.833  0.833
Cu  0.602  0.167  0.167
Cu  0.627  0.101  0.627
Cu  0.627  0.627  0.101
Cu  0.833  0.398  0.833
Cu  0.833  0.833  0.398
Cu  0.899  0.373  0.373
Pd  0.500  0.500  0.500



8.
First-principles (PBE-GGA) data for a relaxed structure of Li2RhF, as listed in the Alexandria database.

- Distance to the lowest polymorph of the same formula: 0.000 eV/atom
- Volume: 108 Å³/cell
- ΔE_f (raw): -0.946 eV per atom
- Calculated density: 4.2 g cm⁻³

Unit cell a=5.257 b=5.257 c=5.257 alpha=116.48 beta=116.48 gamma=96.22
Fractional positions:
Li  0.007  0.125  0.382
Li  0.375  0.993  0.118
Li  0.743  0.625  0.618
Li  0.875  0.257  0.882
Rh  0.250  0.750  0.500
Rh  0.500  0.500  0.000
F  0.000  0.000  0.000
F  0.750  0.250  0.500